11
Lattice="3.9564 0.0001 -0.0002 -0.0004 5.5412 -3.1983 0.0001 -0.0014 6.3980" Properties=species:S:1:pos:R:3 comment="Ga2FeF8 PBE+U optimized geometry" polymorph_energy_ev_per_fu=0.00 m_tot_mub_per_cell=4.00 pbc="T T T"
F 1.0256 3.6935 0.0002
F 2.9306 1.8464 3.1992
F 2.9834 4.5985 -1.5763
F 2.9836 4.6064 1.5721
F 0.9728 0.9414 4.7757
F 0.9727 0.9334 1.6273
F 0.9727 3.6640 3.1944
F 2.9836 1.8759 0.0050
Fe 0.0001 -0.0014 6.3980
Ga 0.9505 1.8462 3.1993
Ga 3.0057 3.6937 0.0002